No. 1
The following is a DFT calculation (PBE) of Ac5ZnAg2 after structural relaxation.

Properties
Raw total energy (eV per atom): -3.58
Density of states at the Fermi level (states/eV/cell): 23.5
Crystal system: tetragonal
Formation energy from the elements (eV/f.u.): -1.13
Density (g/cm³): 8.442

Unit cell a=8.031 b=8.031 c=10.337 alpha=112.86 beta=112.86 gamma=90.00
Fractional positions:
Ac 0.517 0.677 0.694
Ac 0.823 0.983 0.306
Ac 0.000 0.000 0.000
Ac 0.500 0.500 0.000
Ac 0.177 0.017 0.694
Ac 0.677 0.177 0.694
Ac 0.017 0.517 0.694
Ac 0.323 0.823 0.306
Ac 0.983 0.483 0.306
Ac 0.483 0.323 0.306
Zn 0.750 0.750 0.500
Zn 0.250 0.250 0.500
Ag 0.123 0.377 0.000
Ag 0.623 0.123 0.000
Ag 0.377 0.877 0.000
Ag 0.877 0.623 0.000

=====

No. 2
The following is a DFT calculation (PBE) of AcZn12Ag4 after structural relaxation.

Properties
Raw total energy (eV per atom): -1.66
Density of states at the Fermi level (states/eV/cell): 6.7
Crystal system: cubic
Formation energy from the elements (eV/f.u.): 2.58
Density (g/cm³): 6.670

Unit cell a=7.757 b=7.757 c=7.757 alpha=109.47 beta=109.47 gamma=109.47
Fractional positions:
Ac 0.000 0.000 0.000
Zn 0.851 0.359 0.211
Zn 0.359 0.508 0.149
Zn 0.789 0.149 0.641
Zn 0.359 0.211 0.851
Zn 0.211 0.851 0.359
Zn 0.641 0.492 0.851
Zn 0.508 0.149 0.359
Zn 0.492 0.851 0.641
Zn 0.641 0.789 0.149
Zn 0.851 0.641 0.492
Zn 0.149 0.359 0.508
Zn 0.149 0.641 0.789
Ag 0.000 0.500 0.000
Ag 0.500 0.000 0.000
Ag 0.500 0.500 0.500
Ag 0.000 0.000 0.500

=====

No. 3
The following is a DFT calculation (PBE) of AcZn4Ag3 after structural relaxation.

Properties
Raw total energy (eV per atom): -2.33
Density of states at the Fermi level (states/eV/cell): 3.2
Crystal system: orthorhombic
Formation energy from the elements (eV/f.u.): -0.87
Density (g/cm³): 7.896

Unit cell a=4.645 b=4.645 c=8.024 alpha=90.00 beta=90.00 gamma=80.62
Fractional positions:
Ac 0.000 0.000 0.500
Zn 0.000 0.500 0.169
Zn 0.000 0.500 0.831
Zn 0.500 0.000 0.831
Zn 0.500 0.000 0.169
Ag 0.000 0.000 0.000
Ag 0.500 0.500 0.328
Ag 0.500 0.500 0.672